[1]
Compound: SiAs3N
Source: Alexandria via LeMat-Bulk
Functional: PBE
Structure: optimized geometry

Output
**Excess energy over the best structure of this formula in the dataset**: 74.94 kJ per mole of atoms
**Density of states at the Fermi level**: 0.411 states/eV per atom

Unit cell a=4.7699 b=4.7699 c=4.7699 alpha=90.00 beta=90.00 gamma=90.00
Closest atoms and distances in Å follow each position.
Space group Pm-3m (No. 221)
Unique sites:
Si: 0.0000 0.0000 0.0000  6 As 2.38
As: 0.0000 0.0000 0.5000  2 Si 2.38
N: 0.5000 0.5000 0.5000  12 As 3.37

***

[2]
Compound: TaSiAsN2
Source: Alexandria via LeMat-Bulk
Functional: PBE
Structure: optimized geometry

Output
**Density of states at the Fermi level**: 0.438 states/eV per atom
**Raw total energy**: -34.84 eV for the cell shown

Unit cell a=3.6121 b=3.6121 c=4.9844 alpha=90.00 beta=90.00 gamma=90.00
Closest atoms and distances in Å follow each position.
Space group P4/mmm (No. 123)
Unique sites:
Ta: 0.0000 0.0000 0.0000  4 As 2.55
Si: 0.5000 0.5000 0.5000  4 N 1.81
As: 0.5000 0.5000 0.0000  2 Si 2.49, 4 Ta 2.55
N: 0.0000 0.5000 0.5000  2 Si 1.81

***

[3]
Compound: TlSi2AsN
Source: Alexandria via LeMat-Bulk
Functional: PBE
Structure: optimized geometry

Output
**Density of states at the Fermi level**: 0.938 states/eV per atom
**Raw total energy**: -17.08 eV for the cell shown

Unit cell a=5.2775 b=5.2775 c=4.1110 alpha=90.00 beta=90.00 gamma=90.00
Closest atoms and distances in Å follow each position.
Space group P4/mmm (No. 123)
Unique sites:
Tl: 0.0000 0.0000 0.0000  2 N 2.06
Si: 0.0000 0.5000 0.0000  2 Tl 2.64
As: 0.5000 0.5000 0.5000  8 Si 3.34, 4 N 3.73
N: 0.0000 0.0000 0.5000  2 Tl 2.06

***

[4]
Compound: Sm4As2N
Source: Alexandria via LeMat-Bulk
Functional: PBE
Structure: optimized geometry

Output
**Density of states at the Fermi level**: 0.484 states/eV per atom
**Raw total energy**: -82.73 eV for the cell shown

Unit cell a=4.5129 b=4.5129 c=19.0857 alpha=90.00 beta=90.00 gamma=90.00
Closest atoms and distances in Å follow each position.
Space group I4/mmm (No. 139)
Unique sites:
Sm: 0.0000 0.0000 0.1797  5 As 2.93-3.20
Sm: 0.0000 0.5000 0.0000  2 N 2.26
As: 0.0000 0.0000 0.3332  5 Sm 2.93-3.20, 1 N 3.18
N: 0.0000 0.0000 0.5000  4 Sm 2.26